GGA-PBE TiNbNF2, relaxed; raw formation energy = -21.724 kcal/mol of atoms; calculated total energy = -34.743 eV for the cell shown
1.0
4.173 0.000 0.000
0.000 4.173 0.000
0.000 0.000 4.100
N Nb F Ti
1 1 2 1
Cartesian
0.000 0.000 2.050
0.000 0.000 0.000
0.000 2.086 0.000
2.086 0.000 0.000
2.086 2.086 2.050